[1]
The following is a PBE calculation of a geometry-optimized MnSnPCl2 structure, from the Alexandria database.

Unit cell a=4.3226 b=5.8614 c=4.3226 alpha=90.00 beta=90.00 gamma=90.00
Element x y z (fractional)
P 0.5000 0.5000 0.5000
Cl 0.0000 0.0000 0.5000
Mn 0.0000 0.0000 0.0000
Sn 0.0000 0.5000 0.0000
Cl 0.5000 0.0000 0.0000

Values from the calculation:
- Uncorrected formation energy: 0.309 eV/atom
- Calculated volume: 21.90 Å³ per atom
- Total magnetic moment: 0.0 Bohr magnetons per cell
- Energy above the most stable polymorph in this dataset: 0.511 eV/atom

***

[2]
The following is a PBE calculation of a geometry-optimized CsCuBr4 structure, from the Alexandria database.

Unit cell a=4.0865 b=7.5731 c=7.5730 alpha=89.04 beta=90.00 gamma=90.00
Element x y z (fractional)
Br 0.5000 0.7719 0.2281
Br 0.5000 0.2281 0.7719
Br 0.0000 0.8402 0.8401
Cu 0.5000 0.0000 0.0000
Br 0.0000 0.1598 0.1599
Cs 0.0000 0.5000 0.5000

Values from the calculation:
- Uncorrected formation energy: -0.537 eV/atom
- Calculated volume: 39.06 Å³ per atom
- Total magnetic moment: 2.1 Bohr magnetons per cell